Record 1
DFT (PBE-GGA) results for a relaxed structure of As2RuPb.

The space group is Pmm2 (No. 25) and the conventional cell measures 3.138, 3.426 and 7.623 Å, with angles of 90.00, 90.00 and 90.00 degrees. The asymmetric unit holds As at (0.000, 0.000, 0.000), As at (0.500, 0.500, 0.216), Ru at (0.000, 0.000, 0.353) and Pb at (0.500, 0.500, 0.637).

The formation energy is 0.1693 eV/atom.

Record 2
DFT (PBE-GGA) results for a relaxed structure of Ag2Hg2Te.

The space group is I4/mmm (No. 139) and the conventional cell measures 4.034, 4.034 and 14.735 Å, with angles of 90.00, 90.00 and 90.00 degrees. The asymmetric unit holds Ag at (0.000, 0.500, 0.250), Hg at (0.000, 0.000, 0.105) and Te at (0.000, 0.000, 0.500).

The value obtained for the uncorrected formation energy is 0.106 eV/atom. Its offset from the most stable computed form is 0.000 eV per atom.

Record 3
DFT (PBE-GGA) results for a relaxed structure of CdCoMo2W.

The space group is P4/mmm (No. 123) and the conventional cell measures 4.492, 4.492 and 4.503 Å, with angles of 90.00, 90.00 and 90.00 degrees. The asymmetric unit holds Cd at (0.000, 0.000, 0.000), Co at (0.500, 0.500, 0.500), Mo at (0.000, 0.500, 0.500) and W at (0.500, 0.500, 0.000).

The formation energy is 1.1891 eV/atom. Its offset from the most stable computed form is 0.000 eV per atom.

Record 4
DFT (PBE-GGA) results for a relaxed structure of Zr2BeAs.

The space group is Fm-3m (No. 225) and the conventional cell measures 6.570, 6.570 and 6.570 Å, with angles of 90.00, 90.00 and 90.00 degrees. The asymmetric unit holds Zr at (0.250, 0.250, 0.250), Be at (0.000, 0.000, 0.000) and As at (0.000, 0.000, 0.500).

The formation energy is -0.2419 eV/atom. Its offset from the most stable computed form is 0.551 eV per atom.

no.,uncorrected energy (eV per formula unit)
1,-21.61
2,-8.92
3,-36.69
4,-26.44